Computed, not measured: an optimized crystal structure of LaPtNO2 at the PBE level of DFT.

Cell lengths 4.386, 4.386, 4.958 Å; angles 90.00, 90.00, 90.00 degrees
Element x y z (fractional)
La 0.000 0.000 0.000
Pt 0.500 0.500 0.500
N 0.000 0.000 0.500
O 0.000 0.500 0.000
O 0.500 0.000 0.000

Output
Symmetry   No. 123
Total energy   -27.3 eV/cell


Computed, not measured: an optimized crystal structure of LaPtN2O at the PBE level of DFT.

Cell lengths 4.815, 4.815, 4.299 Å; angles 90.00, 90.00, 90.00 degrees
Element x y z (fractional)
La 0.000 0.000 0.000
Pt 0.500 0.500 0.500
N 0.000 0.500 0.000
N 0.500 0.000 0.000
O 0.000 0.000 0.500

Output
Symmetry   No. 123
Total energy   -26.6 eV/cell